# Cu3OsPd, relaxed, DFT PBE
data_Cu3OsPd
_chemical_formula_sum 'Cu3 Os1 Pd1'
_space_group_name_H-M_alt 'P m -3 m'
_space_group_IT_number 221
_space_group_name_Hall '-P 4 2 3'
_cell_length_a 4.592
_cell_length_b 4.592
_cell_length_c 4.592
_cell_angle_alpha 90.00
_cell_angle_beta 90.00
_cell_angle_gamma 90.00
loop_
_atom_site_label
_atom_site_fract_x
_atom_site_fract_y
_atom_site_fract_z
Cu1 0.000 0.000 0.500
Os1 0.000 0.000 0.000
Pd1 0.500 0.500 0.500
# Spin magnetization ... 0.69 μB per formula unit
# DFT total energy ... -4.277 eV/atom
# E above lowest polymorph ... 0 meV per atom

=====

# Na3Sn2Au4, relaxed, DFT PBE
data_Na3Sn2Au4
_chemical_formula_sum 'Na6 Sn4 Au8'
_space_group_name_H-M_alt 'C 1 2/m 1'
_space_group_IT_number 12
_cell_length_a 11.416
_cell_length_b 4.593
_cell_length_c 9.105
_cell_angle_alpha 90.00
_cell_angle_beta 115.70
_cell_angle_gamma 90.00
loop_
_space_group_symop_operation_xyz
'x,y,z'
'-x,-y,-z'
'-x,y,-z'
'x,-y,z'
'x+1/2,y+1/2,z'
'-x+1/2,-y+1/2,-z'
'-x+1/2,y+1/2,-z'
'x+1/2,-y+1/2,z'
loop_
_atom_site_label
_atom_site_fract_x
_atom_site_fract_y
_atom_site_fract_z
Na1 0.000 0.000 0.000
Na2 0.133 0.500 0.696
Sn1 0.157 0.500 0.320
Au1 0.087 0.000 0.429
Au2 0.224 0.500 0.068
# Spin magnetization ... 0.00 μB per formula unit
# DFT total energy ... -3.082 eV/atom
# E above lowest polymorph ... 0 meV per atom

=====

# TbTm2Th2, relaxed, DFT PBE
data_TbTm2Th2
_chemical_formula_sum 'Tb4 Tm8 Th8'
_space_group_name_H-M_alt 'C 1 2/c 1'
_space_group_IT_number 15
_cell_length_a 8.670
_cell_length_b 10.170
_cell_length_c 8.207
_cell_angle_alpha 90.00
_cell_angle_beta 111.13
_cell_angle_gamma 90.00
loop_
_space_group_symop_operation_xyz
'x,y,z'
'-x,-y,-z'
'-x,y,-z+1/2'
'x,-y,z+1/2'
'x+1/2,y+1/2,z'
'-x+1/2,-y+1/2,-z'
'-x+1/2,y+1/2,-z+1/2'
'x+1/2,-y+1/2,z+1/2'
loop_
_atom_site_label
_atom_site_fract_x
_atom_site_fract_y
_atom_site_fract_z
Tb1 0.000 0.226 0.250
Tm1 0.000 0.500 0.000
Tm2 0.250 0.250 0.000
Th1 0.153 0.066 0.647
# Spin magnetization ... 0.00 μB per formula unit
# DFT total energy ... -5.369 eV/atom
# E above lowest polymorph ... 285 meV per atom

=====

# Ca2Zn4Ge3Pt, relaxed, DFT PBE
data_Ca2Zn4Ge3Pt
_chemical_formula_sum 'Ca2 Zn4 Ge3 Pt1'
_space_group_name_H-M_alt 'P -4 m 2'
_space_group_IT_number 115
_cell_length_a 4.177
_cell_length_b 4.177
_cell_length_c 10.967
_cell_angle_alpha 90.00
_cell_angle_beta 90.00
_cell_angle_gamma 90.00
loop_
_space_group_symop_operation_xyz
'x,y,z'
'y,-x,-z'
'-x,-y,z'
'-y,x,-z'
'-x,y,z'
'-y,-x,-z'
'x,-y,z'
'y,x,-z'
loop_
_atom_site_label
_atom_site_fract_x
_atom_site_fract_y
_atom_site_fract_z
Ca1 0.000 0.500 0.245
Zn1 0.000 0.000 0.500
Zn2 0.000 0.500 0.862
Zn3 0.500 0.500 0.500
Ge1 0.000 0.000 0.000
Ge2 0.000 0.500 0.638
Pt1 0.500 0.500 0.000
# Spin magnetization ... 0.00 μB per formula unit
# DFT total energy ... -3.313 eV/atom

=====

| no. | ρ (g/cm3) |
| --- | --- |
| 1 | 8.36 |
| 2 | 8.45 |
| 3 | 9.46 |
| 4 | 6.55 |